No. 1
Crystalline Os2PbW at its relaxed geometry, computed with GGA-PBE.

Computed properties:
As for the space group: P4/mmm. For the total energy, the calculation gives -9.239 eV/atom.

Unit cell a=3.0391 b=3.0391 c=7.6446 alpha=90.00 beta=90.00 gamma=90.00
Closest atoms and distances in Å follow each position.
Atoms (fractional coordinates):
Os: 0.0000 0.0000 0.9593  4 W 2.68
Os: 0.0000 0.0000 0.5407  4 W 2.68
Pb: 0.5000 0.5000 0.2500  4 Pb 3.04, 8 Os 3.09
W: 0.5000 0.5000 0.7500  8 Os 2.68

No. 2
Crystalline Os2PbW at its relaxed geometry, computed with GGA-PBE.

Computed properties:
As for the space group: R3m. For the total energy, the calculation gives -9.020 eV/atom.

Unit cell a=9.6476 b=9.6476 c=9.6476 alpha=17.31 beta=17.31 gamma=17.31
Closest atoms and distances in Å follow each position.
Atoms (fractional coordinates):
Os: 0.9984 0.9984 0.9984  9 Os 2.67-2.90, 3 W 2.75
Pb: 0.5012 0.5012 0.5012  6 Pb 2.90, 3 Os 3.09, 3 W 3.14
Os: 0.2590 0.2590 0.2590  9 Os 2.67-2.90
W: 0.7414 0.7414 0.7414  3 Os 2.75, 6 W 2.90